1.
DFT (GGA-PBE) results for a relaxed structure of Tb6Sm16Ho7.

Cell: 11.2220 11.2220 11.2220 Å, 60.00 60.00 60.00°
Closest atoms and distances in Å follow each position.
Sites, in units of the cell vectors:
Tb: 0.2294 0.2294 0.7706  8 Sm 3.60-3.63, 4 Ho 3.98
Tb: 0.2294 0.7706 0.2294  8 Sm 3.60-3.63, 4 Ho 3.98
Tb: 0.2294 0.7706 0.7706  8 Sm 3.60-3.63, 4 Ho 3.98
Tb: 0.7706 0.2294 0.2294  8 Sm 3.60-3.63, 4 Ho 3.98
Tb: 0.7706 0.2294 0.7706  8 Sm 3.60-3.63, 4 Ho 3.98
Tb: 0.7706 0.7706 0.2294  8 Sm 3.60-3.63, 4 Ho 3.98
Sm: 0.1263 0.6246 0.6246  4 Ho 3.42-3.44, 3 Sm 3.62, 3 Tb 3.63
Sm: 0.1504 0.1504 0.1504  3 Ho 3.27, 3 Tb 3.60, 3 Sm 3.62
Sm: 0.1504 0.1504 0.5489  3 Ho 3.27, 3 Tb 3.60, 3 Sm 3.62
Sm: 0.1504 0.5489 0.1504  3 Ho 3.27, 3 Tb 3.60, 3 Sm 3.62
Sm: 0.3754 0.3754 0.3754  4 Ho 3.42-3.44, 3 Sm 3.62, 3 Tb 3.63
Sm: 0.3754 0.3754 0.8737  4 Ho 3.42-3.44, 3 Sm 3.62, 3 Tb 3.63
Sm: 0.3754 0.8737 0.3754  4 Ho 3.42-3.44, 3 Sm 3.62, 3 Tb 3.63
Sm: 0.4511 0.8496 0.8496  3 Ho 3.27, 3 Tb 3.60, 3 Sm 3.62
Sm: 0.5489 0.1504 0.1504  3 Ho 3.27, 3 Tb 3.60, 3 Sm 3.62
Sm: 0.6246 0.1263 0.6246  4 Ho 3.42-3.44, 3 Sm 3.62, 3 Tb 3.63
Sm: 0.6246 0.6246 0.1263  4 Ho 3.42-3.44, 3 Sm 3.62, 3 Tb 3.63
Sm: 0.6246 0.6246 0.6246  4 Ho 3.42-3.44, 3 Sm 3.62, 3 Tb 3.63
Sm: 0.8496 0.4511 0.8496  3 Ho 3.27, 3 Tb 3.60, 3 Sm 3.62
Sm: 0.8496 0.8496 0.4511  3 Ho 3.27, 3 Tb 3.60, 3 Sm 3.62
Sm: 0.8496 0.8496 0.8496  3 Ho 3.27, 3 Tb 3.60, 3 Sm 3.62
Sm: 0.8737 0.3754 0.3754  4 Ho 3.42-3.44, 3 Sm 3.62, 3 Tb 3.63
Ho: 0.0000 0.0000 0.5000  8 Sm 3.27-3.44
Ho: 0.0000 0.5000 0.0000  8 Sm 3.27-3.44
Ho: 0.0000 0.5000 0.5000  8 Sm 3.27-3.44
Ho: 0.5000 0.0000 0.0000  8 Sm 3.27-3.44
Ho: 0.5000 0.0000 0.5000  8 Sm 3.27-3.44
Ho: 0.5000 0.5000 0.0000  8 Sm 3.27-3.44
Ho: 0.5000 0.5000 0.5000  8 Sm 3.42

Values from the calculation:
Total magnetization, Bohr magnetons per cell: 0.00
Energy of formation, meV per atom: 218
DFT total energy, eV per atom: -4.4487
Fermi-level density of states, states/eV/f.u.: 43.98

***

2.
DFT (GGA-PBE) results for a relaxed structure of Tb5Sm12Ho2.

Cell: 9.3320 9.3320 7.9718 Å, 91.83 91.83 67.48°
Closest atoms and distances in Å follow each position.
Sites, in units of the cell vectors:
Tb: 0.0000 0.0000 0.0000  4 Sm 3.42, 2 Tb 3.80
Tb: 0.2444 0.2444 0.9866  8 Sm 3.30-3.63
Tb: 0.3483 0.3483 0.4138  9 Sm 3.33-3.70, 2 Ho 3.52, 1 Tb 3.71
Tb: 0.6517 0.6517 0.5862  9 Sm 3.33-3.70, 2 Ho 3.52, 1 Tb 3.71
Tb: 0.7556 0.7556 0.0134  8 Sm 3.30-3.63
Sm: 0.0403 0.5784 0.7053  1 Ho 3.44, 6 Sm 3.48-3.84, 4 Tb 3.53-3.74
Sm: 0.1439 0.1439 0.6145  2 Tb 3.30-3.61, 2 Ho 3.55, 4 Sm 3.59-3.64
Sm: 0.1681 0.6201 0.1119  4 Tb 3.42-3.63, 1 Ho 3.45, 6 Sm 3.46-3.80
Sm: 0.3799 0.8319 0.8881  4 Tb 3.42-3.63, 1 Ho 3.45, 6 Sm 3.46-3.80
Sm: 0.4216 0.9597 0.2947  1 Ho 3.44, 6 Sm 3.48-3.84, 4 Tb 3.53-3.74
Sm: 0.4480 0.4480 0.7911  3 Tb 3.33-3.61, 7 Sm 3.46-3.65, 2 Ho 3.56
Sm: 0.5520 0.5520 0.2089  3 Tb 3.33-3.61, 7 Sm 3.46-3.65, 2 Ho 3.56
Sm: 0.5784 0.0403 0.7053  1 Ho 3.44, 6 Sm 3.48-3.84, 4 Tb 3.53-3.74
Sm: 0.6201 0.1681 0.1119  4 Tb 3.42-3.63, 1 Ho 3.45, 6 Sm 3.46-3.80
Sm: 0.8319 0.3799 0.8881  4 Tb 3.42-3.63, 1 Ho 3.45, 6 Sm 3.46-3.80
Sm: 0.8561 0.8561 0.3855  2 Tb 3.30-3.61, 2 Ho 3.55, 4 Sm 3.59-3.64
Sm: 0.9597 0.4216 0.2947  1 Ho 3.44, 6 Sm 3.48-3.84, 4 Tb 3.53-3.74
Ho: 0.2537 0.7463 0.5000  8 Sm 3.44-3.56, 2 Tb 3.52
Ho: 0.7463 0.2537 0.5000  8 Sm 3.44-3.56, 2 Tb 3.52

Values from the calculation:
Total magnetization, Bohr magnetons per cell: 0.00
Energy of formation, meV per atom: 132
DFT total energy, eV per atom: -4.5494
Fermi-level density of states, states/eV/f.u.: 26.30

***

3.
DFT (GGA-PBE) results for a relaxed structure of Tb6Sm5Ho2.

Cell: 11.6630 20.4927 3.5929 Å, 90.00 90.00 90.00°
Closest atoms and distances in Å follow each position.
Sites, in units of the cell vectors:
Tb: 0.0605 0.0810 0.0000  6 Sm 3.50-3.63, 5 Tb 3.59-3.76, 1 Ho 3.77
Tb: 0.0815 0.3684 0.0000  1 Ho 3.31, 6 Sm 3.38-3.54, 4 Tb 3.48-3.59
Tb: 0.1742 0.6377 0.5000  2 Sm 3.34-3.48, 4 Tb 3.48-3.59, 2 Ho 3.60
Tb: 0.3258 0.1377 0.5000  2 Sm 3.34-3.48, 4 Tb 3.48-3.59, 2 Ho 3.60
Tb: 0.4185 0.8684 0.0000  1 Ho 3.31, 6 Sm 3.38-3.54, 4 Tb 3.48-3.59
Tb: 0.4395 0.5810 0.0000  6 Sm 3.50-3.63, 5 Tb 3.59-3.76, 1 Ho 3.77
Tb: 0.5605 0.4190 0.0000  6 Sm 3.50-3.63, 5 Tb 3.59-3.76, 1 Ho 3.77
Tb: 0.5815 0.1316 0.0000  1 Ho 3.31, 6 Sm 3.38-3.54, 4 Tb 3.48-3.59
Tb: 0.6742 0.8623 0.5000  2 Sm 3.34-3.48, 4 Tb 3.48-3.59, 2 Ho 3.60
Tb: 0.8258 0.3623 0.5000  2 Sm 3.34-3.48, 4 Tb 3.48-3.59, 2 Ho 3.60
Tb: 0.9185 0.6316 0.0000  1 Ho 3.31, 6 Sm 3.38-3.54, 4 Tb 3.48-3.59
Tb: 0.9395 0.9190 0.0000  6 Sm 3.50-3.63, 5 Tb 3.59-3.76, 1 Ho 3.77
Sm: 0.0000 0.5000 0.5000  6 Tb 3.38-3.48, 4 Sm 3.59-3.67
Sm: 0.0861 0.2270 0.5000  5 Tb 3.34-3.50, 4 Ho 3.50-3.60, 2 Sm 3.59
Sm: 0.1986 0.9487 0.5000  6 Tb 3.54-3.63, 3 Sm 3.59-3.67, 2 Ho 3.73
Sm: 0.3014 0.4487 0.5000  6 Tb 3.54-3.63, 3 Sm 3.59-3.67, 2 Ho 3.73
Sm: 0.4139 0.7270 0.5000  5 Tb 3.34-3.50, 4 Ho 3.50-3.60, 2 Sm 3.59
Sm: 0.5000 0.0000 0.5000  6 Tb 3.38-3.48, 4 Sm 3.59-3.67
Sm: 0.5861 0.2730 0.5000  5 Tb 3.34-3.50, 4 Ho 3.50-3.60, 2 Sm 3.59
Sm: 0.6986 0.5513 0.5000  6 Tb 3.54-3.63, 3 Sm 3.59-3.67, 2 Ho 3.73
Sm: 0.8014 0.0513 0.5000  6 Tb 3.54-3.63, 3 Sm 3.59-3.67, 2 Ho 3.73
Sm: 0.9139 0.7730 0.5000  5 Tb 3.34-3.50, 4 Ho 3.50-3.60, 2 Sm 3.59
Ho: 0.1702 0.7898 0.0000  3 Tb 3.31-3.60, 4 Sm 3.50-3.60, 2 Ho 3.59
Ho: 0.3298 0.2898 0.0000  3 Tb 3.31-3.60, 4 Sm 3.50-3.60, 2 Ho 3.59
Ho: 0.6702 0.7102 0.0000  3 Tb 3.31-3.60, 4 Sm 3.50-3.60, 2 Ho 3.59
Ho: 0.8298 0.2102 0.0000  3 Tb 3.31-3.60, 4 Sm 3.50-3.60, 2 Ho 3.59

Values from the calculation:
Total magnetization, Bohr magnetons per cell: 0.00
Energy of formation, meV per atom: 94
DFT total energy, eV per atom: -4.5622
Fermi-level density of states, states/eV/f.u.: 15.25

***

4.
DFT (GGA-PBE) results for a relaxed structure of Tb6SmHo12.

Cell: 8.4977 8.4977 8.4977 Å, 88.46 88.46 88.46°
Closest atoms and distances in Å follow each position.
Sites, in units of the cell vectors:
Tb: 0.1873 0.5910 0.7568  6 Ho 3.26-3.59, 1 Sm 3.48, 2 Tb 3.49
Tb: 0.2432 0.8127 0.4090  6 Ho 3.26-3.59, 1 Sm 3.48, 2 Tb 3.49
Tb: 0.4090 0.2432 0.8127  6 Ho 3.26-3.59, 1 Sm 3.48, 2 Tb 3.49
Tb: 0.5910 0.7568 0.1873  6 Ho 3.26-3.59, 1 Sm 3.48, 2 Tb 3.49
Tb: 0.7568 0.1873 0.5910  6 Ho 3.26-3.59, 1 Sm 3.48, 2 Tb 3.49
Tb: 0.8127 0.4090 0.2432  6 Ho 3.26-3.59, 1 Sm 3.48, 2 Tb 3.49
Sm: 0.5000 0.5000 0.5000  6 Tb 3.48, 6 Ho 3.55
Ho: 0.0436 0.2729 0.9362  3 Tb 3.26-3.43, 6 Ho 3.26-3.53
Ho: 0.0638 0.9564 0.7271  3 Tb 3.26-3.43, 6 Ho 3.26-3.53
Ho: 0.1453 0.2897 0.4899  4 Ho 3.39-3.55, 4 Tb 3.50-3.67, 1 Sm 3.55
Ho: 0.2729 0.9362 0.0436  3 Tb 3.26-3.43, 6 Ho 3.26-3.53
Ho: 0.2897 0.4899 0.1453  4 Ho 3.39-3.55, 4 Tb 3.50-3.67, 1 Sm 3.55
Ho: 0.4899 0.1453 0.2897  4 Ho 3.39-3.55, 4 Tb 3.50-3.67, 1 Sm 3.55
Ho: 0.5101 0.8547 0.7103  4 Ho 3.39-3.55, 4 Tb 3.50-3.67, 1 Sm 3.55
Ho: 0.7103 0.5101 0.8547  4 Ho 3.39-3.55, 4 Tb 3.50-3.67, 1 Sm 3.55
Ho: 0.7271 0.0638 0.9564  3 Tb 3.26-3.43, 6 Ho 3.26-3.53
Ho: 0.8547 0.7103 0.5101  4 Ho 3.39-3.55, 4 Tb 3.50-3.67, 1 Sm 3.55
Ho: 0.9362 0.0436 0.2729  3 Tb 3.26-3.43, 6 Ho 3.26-3.53
Ho: 0.9564 0.7271 0.0638  3 Tb 3.26-3.43, 6 Ho 3.26-3.53

Values from the calculation:
Total magnetization, Bohr magnetons per cell: 0.00
Energy of formation, meV per atom: 157
DFT total energy, eV per atom: -4.4444
Fermi-level density of states, states/eV/f.u.: 30.93

***

5.
DFT (GGA-PBE) results for a relaxed structure of TbSm7Ho2.

Cell: 9.3632 9.3632 5.5789 Å, 90.00 90.00 124.00°
Closest atoms and distances in Å follow each position.
Sites, in units of the cell vectors:
Tb: 0.0000 0.0000 0.0000  10 Sm 3.52-3.70
Sm: 0.0654 0.2910 0.5000  2 Sm 3.13-3.39, 2 Ho 3.21-3.40
Sm: 0.2132 0.7868 0.0000  2 Ho 3.10
Sm: 0.2910 0.0654 0.5000  2 Sm 3.13-3.39, 2 Ho 3.21-3.40
Sm: 0.5000 0.5000 0.5000  2 Ho 3.38, 4 Sm 3.39
Sm: 0.7090 0.9346 0.5000  2 Sm 3.13-3.39, 2 Ho 3.21-3.40
Sm: 0.7868 0.2132 0.0000  2 Ho 3.10
Sm: 0.9346 0.7090 0.5000  2 Sm 3.13-3.39, 2 Ho 3.21-3.40
Ho: 0.2956 0.7044 0.5000  7 Sm 3.10-3.40
Ho: 0.7044 0.2956 0.5000  7 Sm 3.10-3.40

Values from the calculation:
Total magnetization, Bohr magnetons per cell: 0.00
Energy of formation, meV per atom: 662
DFT total energy, eV per atom: -4.0197
Fermi-level density of states, states/eV/f.u.: 14.81

***

6.
DFT (GGA-PBE) results for a relaxed structure of Tb7SmHo3.

Cell: 7.0647 7.0647 8.5886 Å, 90.00 90.00 120.00°
Closest atoms and distances in Å follow each position.
Sites, in units of the cell vectors:
Tb: 0.0000 0.0000 0.0000  9 Tb 3.48-3.53, 3 Ho 3.54
Tb: 0.1654 0.3309 0.6698  7 Tb 3.48-3.56, 2 Ho 3.51, 2 Sm 3.53
Tb: 0.1654 0.8346 0.6698  7 Tb 3.48-3.56, 2 Ho 3.51, 2 Sm 3.53
Tb: 0.5012 0.0024 0.0058  1 Sm 3.48, 2 Ho 3.50, 8 Tb 3.51-3.56
Tb: 0.5012 0.4988 0.0058  1 Sm 3.48, 2 Ho 3.50, 8 Tb 3.51-3.56
Tb: 0.6691 0.8346 0.6698  7 Tb 3.48-3.56, 2 Ho 3.51, 2 Sm 3.53
Tb: 0.9976 0.4988 0.0058  1 Sm 3.48, 2 Ho 3.50, 8 Tb 3.51-3.56
Sm: 0.6667 0.3333 0.6758  9 Tb 3.48-3.53, 3 Ho 3.56
Ho: 0.3328 0.1664 0.3370  5 Tb 3.50-3.54, 4 Ho 3.53-3.54, 1 Sm 3.56
Ho: 0.8336 0.1664 0.3370  5 Tb 3.50-3.54, 4 Ho 3.53-3.54, 1 Sm 3.56
Ho: 0.8336 0.6672 0.3370  5 Tb 3.50-3.54, 4 Ho 3.53-3.54, 1 Sm 3.56

Values from the calculation:
Total magnetization, Bohr magnetons per cell: 0.00
Energy of formation, meV per atom: 191
DFT total energy, eV per atom: -4.4326
Fermi-level density of states, states/eV/f.u.: 17.45

***

7.
DFT (GGA-PBE) results for a relaxed structure of Tb2Sm5Ho4.

Cell: 6.5619 6.5963 9.0378 Å, 70.15 78.39 84.35°
Closest atoms and distances in Å follow each position.
Sites, in units of the cell vectors:
Tb: 0.0893 0.4156 0.2038  3 Sm 3.36-3.71, 4 Ho 3.40-3.67
Tb: 0.9107 0.5844 0.7962  3 Sm 3.36-3.71, 4 Ho 3.40-3.67
Sm: 0.0000 0.0000 0.0000  4 Sm 3.56-3.74, 6 Ho 3.67-3.88, 4 Tb 3.71-3.93
Sm: 0.1776 0.8532 0.3704  4 Sm 3.40-3.58, 3 Ho 3.45-3.59, 2 Tb 3.54-3.78
Sm: 0.2953 0.3367 0.6072  1 Tb 3.36, 4 Ho 3.39-3.57, 5 Sm 3.40-3.74
Sm: 0.7047 0.6633 0.3928  1 Tb 3.36, 4 Ho 3.39-3.57, 5 Sm 3.40-3.74
Sm: 0.8224 0.1468 0.6296  4 Sm 3.40-3.58, 3 Ho 3.45-3.59, 2 Tb 3.54-3.78
Ho: 0.4003 0.7994 0.6970  3 Ho 3.33-3.71, 5 Sm 3.39-3.59, 2 Tb 3.47-3.67
Ho: 0.4834 0.2745 0.9459  4 Ho 3.33-3.49, 2 Tb 3.40, 4 Sm 3.41-3.72
Ho: 0.5166 0.7255 0.0541  4 Ho 3.33-3.49, 2 Tb 3.40, 4 Sm 3.41-3.72
Ho: 0.5997 0.2006 0.3030  3 Ho 3.33-3.71, 5 Sm 3.39-3.59, 2 Tb 3.47-3.67

Values from the calculation:
Total magnetization, Bohr magnetons per cell: 0.00
Energy of formation, meV per atom: 85
DFT total energy, eV per atom: -4.5665
Fermi-level density of states, states/eV/f.u.: 16.76

***

8.
DFT (GGA-PBE) results for a relaxed structure of Tb10SmHo4.

Cell: 8.8613 8.8613 8.8613 Å, 101.38 101.38 127.26°
Closest atoms and distances in Å follow each position.
Sites, in units of the cell vectors:
Tb: 0.0031 0.7922 0.2109  4 Tb 3.26-3.35, 1 Sm 3.30, 4 Ho 3.47-3.50
Tb: 0.2078 0.4187 0.2109  4 Tb 3.26-3.35, 1 Sm 3.30, 4 Ho 3.47-3.50
Tb: 0.2078 0.9969 0.7891  4 Tb 3.26-3.35, 1 Sm 3.30, 4 Ho 3.47-3.50
Tb: 0.2500 0.7500 0.5000  4 Tb 3.26
Tb: 0.4187 0.2078 0.2109  4 Tb 3.26-3.35, 1 Sm 3.30, 4 Ho 3.47-3.50
Tb: 0.5813 0.7922 0.7891  4 Tb 3.26-3.35, 1 Sm 3.30, 4 Ho 3.47-3.50
Tb: 0.7500 0.2500 0.5000  4 Tb 3.26
Tb: 0.7922 0.0031 0.2109  4 Tb 3.26-3.35, 1 Sm 3.30, 4 Ho 3.47-3.50
Tb: 0.7922 0.5813 0.7891  4 Tb 3.26-3.35, 1 Sm 3.30, 4 Ho 3.47-3.50
Tb: 0.9969 0.2078 0.7891  4 Tb 3.26-3.35, 1 Sm 3.30, 4 Ho 3.47-3.50
Sm: 0.5000 0.5000 0.0000  8 Tb 3.30, 4 Ho 3.66
Ho: 0.2693 0.2693 0.5386  8 Tb 3.47-3.50, 1 Sm 3.66
Ho: 0.2693 0.7307 0.0000  8 Tb 3.47-3.50, 1 Sm 3.66
Ho: 0.7307 0.2693 0.0000  8 Tb 3.47-3.50, 1 Sm 3.66
Ho: 0.7307 0.7307 0.4614  8 Tb 3.47-3.50, 1 Sm 3.66

Values from the calculation:
Total magnetization, Bohr magnetons per cell: 0.00
Energy of formation, meV per atom: 260
DFT total energy, eV per atom: -4.3623
Fermi-level density of states, states/eV/f.u.: 20.13

***

9.
DFT (GGA-PBE) results for a relaxed structure of Tb4Sm3Ho2.

Cell: 6.1816 6.1934 9.4461 Å, 70.94 89.96 60.10°
Closest atoms and distances in Å follow each position.
Sites, in units of the cell vectors:
Tb: 0.1658 0.1675 0.9999  5 Sm 3.57-3.58, 5 Tb 3.57-3.58, 2 Ho 3.57-3.58
Tb: 0.2772 0.6123 0.3333  4 Ho 3.56-3.58, 5 Sm 3.57-3.59, 3 Tb 3.57-3.58
Tb: 0.7228 0.3877 0.6667  4 Ho 3.56-3.58, 5 Sm 3.57-3.59, 3 Tb 3.57-3.58
Tb: 0.8342 0.8325 0.0001  5 Sm 3.57-3.58, 5 Tb 3.57-3.58, 2 Ho 3.57-3.58
Sm: 0.3886 0.0557 0.6663  2 Sm 3.56-3.58, 4 Ho 3.57-3.58, 6 Tb 3.57-3.59
Sm: 0.5000 0.5000 0.0000  8 Tb 3.57-3.58, 2 Ho 3.58, 2 Sm 3.58
Sm: 0.6114 0.9443 0.3337  2 Sm 3.56-3.58, 4 Ho 3.57-3.58, 6 Tb 3.57-3.59
Ho: 0.0554 0.7224 0.6661  6 Tb 3.56-3.58, 5 Sm 3.57-3.58, 1 Ho 3.57
Ho: 0.9446 0.2776 0.3339  6 Tb 3.56-3.58, 5 Sm 3.57-3.58, 1 Ho 3.57

Values from the calculation:
Total magnetization, Bohr magnetons per cell: 0.00
Energy of formation, meV per atom: 15
DFT total energy, eV per atom: -4.6331
Fermi-level density of states, states/eV/f.u.: 11.80